Record 1
Computed, not measured: a geometry-optimized CaCuBr2 structure at the PBE level of DFT.

a = 3.5491 Å, b = 3.5491 Å, c = 10.5031 Å
α = 90.00°, β = 90.00°, γ = 89.74°
Last column: nearest neighbours and their distance in Å.
Positions (direct):
Br: 0.0000 0.0000 0.0872  4 Ca 3.03-3.04
Br: 0.0000 0.0000 0.4128  4 Ca 3.03-3.04
Ca: 0.5000 0.5000 0.2500  8 Br 3.03-3.04
Cu: 0.5000 0.5000 0.7500  4 Cu 3.55

Output
Relative energy among the computed polymorphs   0.202 eV/atom
Space group   Cmmm
Volume   33.1 Å³ per atom
Density   3.307 g/cm³
Total DFT energy (no corrections)   -3.050 eV/atom
Formation energy from raw total energies   -689.5 meV/atom

=====

Record 2
Computed, not measured: a geometry-optimized CaCu4Br structure at the PBE level of DFT.

a = 5.2463 Å, b = 5.2463 Å, c = 5.2463 Å
α = 60.00°, β = 60.00°, γ = 60.00°
Last column: nearest neighbours and their distance in Å.
Positions (direct):
Cu: 0.8737 0.3754 0.3754  6 Cu 2.61-2.63
Cu: 0.3754 0.3754 0.3754  6 Cu 2.61-2.63
Cu: 0.3754 0.3754 0.8737  6 Cu 2.61-2.63
Cu: 0.3754 0.8737 0.3754  6 Cu 2.61-2.63
Ca: 0.0000 0.0000 0.0000  12 Cu 3.08, 4 Br 3.21
Br: 0.7500 0.7500 0.7500  12 Cu 3.07, 4 Ca 3.21

Output
Space group   F-43m
Volume   17.0 Å³ per atom
Density   6.085 g/cm³
Total DFT energy (no corrections)   -3.380 eV/atom
Formation energy from raw total energies   -36.8 meV/atom

=====

Record 3
Computed, not measured: a geometry-optimized CaCuBr2 structure at the PBE level of DFT.

a = 5.1356 Å, b = 5.1356 Å, c = 5.1356 Å
α = 60.00°, β = 60.00°, γ = 60.00°
Last column: nearest neighbours and their distance in Å.
Positions (direct):
Cu: 0.5000 0.5000 0.5000  8 Br 3.14
Br: 0.2500 0.2500 0.2500  4 Ca 3.14, 4 Cu 3.14
Br: 0.7500 0.7500 0.7500  4 Ca 3.14, 4 Cu 3.14
Ca: 0.0000 0.0000 0.0000  8 Br 3.14

Output
Relative energy among the computed polymorphs   0.166 eV/atom
Space group   Fm-3m
Volume   23.9 Å³ per atom
Density   4.567 g/cm³
Total DFT energy (no corrections)   -3.086 eV/atom
Formation energy from raw total energies   -725.5 meV/atom

=====

Record 4
Computed, not measured: a geometry-optimized CaCuBr structure at the PBE level of DFT.

a = 4.2504 Å, b = 4.2504 Å, c = 10.9682 Å
α = 78.83°, β = 78.83°, γ = 60.00°
Last column: nearest neighbours and their distance in Å.
Positions (direct):
Cu: 0.8338 0.8338 0.4987  3 Cu 2.45
Cu: 0.1662 0.1662 0.5013  3 Cu 2.45
Ca: 0.5607 0.5607 0.3179  3 Br 2.92, 6 Cu 3.12-3.14
Ca: 0.4393 0.4393 0.6821  3 Br 2.92, 6 Cu 3.12-3.14
Br: 0.2769 0.2769 0.1693  3 Ca 2.92
Br: 0.7231 0.7231 0.8307  3 Ca 2.92

Output
Relative energy among the computed polymorphs   0.000 eV/atom
Space group   R-3m
Volume   27.9 Å³ per atom
Density   3.644 g/cm³
Total DFT energy (no corrections)   -3.592 eV/atom
Formation energy from raw total energies   -1001.9 meV/atom

=====

Record 5
Computed, not measured: a geometry-optimized CaCuBr structure at the PBE level of DFT.

a = 6.5896 Å, b = 6.5908 Å, c = 3.5863 Å
α = 74.19°, β = 74.23°, γ = 31.58°
Last column: nearest neighbours and their distance in Å.
Positions (direct):
Br: 0.9739 0.9739 0.0261  4 Ca 3.05
Cu: 0.6912 0.6912 0.3088  4 Ca 3.08, 1 Br 3.44
Ca: 0.3349 0.3349 0.6651  4 Br 3.05, 4 Cu 3.08

Output
Relative energy among the computed polymorphs   0.424 eV/atom
Space group   I4mm
Volume   26.1 Å³ per atom
Density   3.895 g/cm³
Total DFT energy (no corrections)   -3.168 eV/atom
Formation energy from raw total energies   -578.1 meV/atom

=====

Record 6
Computed, not measured: a geometry-optimized CaCuBr2 structure at the PBE level of DFT.

a = 4.8675 Å, b = 4.8676 Å, c = 3.8730 Å
α = 90.00°, β = 90.00°, γ = 90.00°
Last column: nearest neighbours and their distance in Å.
Positions (direct):
Ca: 0.5000 0.0000 0.5000  8 Br 3.11, 4 Cu 3.44
Br: 0.5000 0.5000 0.0000  4 Cu 3.11, 4 Ca 3.11, 4 Br 3.44
Br: 0.0000 0.0000 0.0000  4 Ca 3.11, 4 Cu 3.11, 4 Br 3.44
Cu: 0.0000 0.5000 0.5000  8 Br 3.11, 4 Ca 3.44

Output
Relative energy among the computed polymorphs   0.174 eV/atom
Space group   P4/mmm
Volume   22.9 Å³ per atom
Density   4.767 g/cm³
Total DFT energy (no corrections)   -3.078 eV/atom
Formation energy from raw total energies   -717.4 meV/atom

=====

Record 7
Computed, not measured: a geometry-optimized CaCuBr2 structure at the PBE level of DFT.

a = 3.7157 Å, b = 3.7141 Å, c = 6.9370 Å
α = 90.00°, β = 90.00°, γ = 90.00°
Last column: nearest neighbours and their distance in Å.
Positions (direct):
Ca: 0.5000 0.5000 0.2500  8 Br 3.11, 2 Cu 3.47
Br: 0.0000 0.0000 0.0089  4 Ca 3.11, 4 Cu 3.18, 1 Br 3.35
Br: 0.0000 0.0000 0.4911  4 Ca 3.11, 4 Cu 3.18, 1 Br 3.35
Cu: 0.5000 0.5000 0.7500  8 Br 3.18, 2 Ca 3.47

Output
Relative energy among the computed polymorphs   0.243 eV/atom
Space group   P4/mmm
Volume   23.9 Å³ per atom
Density   4.569 g/cm³
Total DFT energy (no corrections)   -3.010 eV/atom
Formation energy from raw total energies   -649.0 meV/atom

=====

Record 8
Computed, not measured: a geometry-optimized CaCuBr structure at the PBE level of DFT.

a = 4.0576 Å, b = 4.0576 Å, c = 6.0690 Å
α = 90.00°, β = 90.00°, γ = 120.00°
Last column: nearest neighbours and their distance in Å.
Positions (direct):
Ca: 0.6667 0.3333 0.3308  3 Br 2.93, 3 Cu 2.96
Cu: 0.3333 0.6667 0.6294  3 Ca 2.96
Br: 0.0000 0.0000 0.0398  3 Ca 2.93

Output
Relative energy among the computed polymorphs   0.383 eV/atom
Space group   P3m1
Volume   28.8 Å³ per atom
Density   3.522 g/cm³
Total DFT energy (no corrections)   -3.209 eV/atom
Formation energy from raw total energies   -618.8 meV/atom

=====

Record 9
Computed, not measured: a geometry-optimized CaCuBr2 structure at the PBE level of DFT.

a = 7.0090 Å, b = 7.0090 Å, c = 4.8674 Å
α = 83.23°, β = 83.23°, γ = 34.89°
Last column: nearest neighbours and their distance in Å.
Positions (direct):
Ca: 0.2500 0.2500 0.2500  4 Br 2.88, 4 Cu 3.22
Cu: 0.7500 0.7500 0.7500  2 Br 2.46
Br: 0.6132 0.6132 0.4546  1 Cu 2.46
Br: 0.8868 0.8868 0.0454  1 Cu 2.46

Output
Relative energy among the computed polymorphs   0.086 eV/atom
Space group   C2/m
Volume   33.9 Å³ per atom
Density   3.223 g/cm³
Total DFT energy (no corrections)   -3.167 eV/atom
Formation energy from raw total energies   -805.9 meV/atom

=====

Record 10
Computed, not measured: a geometry-optimized CaCuBr2 structure at the PBE level of DFT.

a = 5.2265 Å, b = 5.2265 Å, c = 5.2265 Å
α = 60.00°, β = 60.00°, γ = 60.00°
Last column: nearest neighbours and their distance in Å.
Positions (direct):
Br: 0.0000 0.0000 0.0000  4 Br 3.20, 4 Cu 3.20
Br: 0.2500 0.2500 0.2500  4 Ca 3.20, 4 Br 3.20
Cu: 0.7500 0.7500 0.7500  4 Br 3.20, 4 Ca 3.20
Ca: 0.5000 0.5000 0.5000  4 Cu 3.20, 4 Br 3.20

Output
Relative energy among the computed polymorphs   0.446 eV/atom
Space group   F-43m
Volume   25.2 Å³ per atom
Density   4.333 g/cm³
Total DFT energy (no corrections)   -2.807 eV/atom
Formation energy from raw total energies   -445.6 meV/atom

=====

Record 11
Computed, not measured: a geometry-optimized CaCuBr structure at the PBE level of DFT.

a = 4.9612 Å, b = 4.9612 Å, c = 4.9612 Å
α = 60.00°, β = 60.00°, γ = 60.00°
Last column: nearest neighbours and their distance in Å.
Positions (direct):
Cu: 0.0000 0.0000 0.0000  4 Ca 3.04
Ca: 0.7500 0.7500 0.7500  4 Br 3.04, 4 Cu 3.04
Br: 0.5000 0.5000 0.5000  4 Ca 3.04

Output
Relative energy among the computed polymorphs   0.452 eV/atom
Space group   F-43m
Volume   28.8 Å³ per atom
Density   3.529 g/cm³
Total DFT energy (no corrections)   -3.140 eV/atom
Formation energy from raw total energies   -549.6 meV/atom

=====

Record 12
Computed, not measured: a geometry-optimized CaCuBr structure at the PBE level of DFT.

a = 4.8999 Å, b = 4.8999 Å, c = 4.8999 Å
α = 60.00°, β = 60.00°, γ = 60.00°
Last column: nearest neighbours and their distance in Å.
Positions (direct):
Br: 0.0000 0.0000 0.0000  4 Cu 3.00
Cu: 0.7500 0.7500 0.7500  4 Br 3.00, 4 Ca 3.00
Ca: 0.5000 0.5000 0.5000  4 Cu 3.00

Output
Relative energy among the computed polymorphs   0.699 eV/atom
Space group   F-43m
Volume   27.7 Å³ per atom
Density   3.664 g/cm³
Total DFT energy (no corrections)   -2.894 eV/atom
Formation energy from raw total energies   -303.3 meV/atom